Run one
Compound: Sc2TiAu
Source: Alexandria
Functional: GGA-PBE
Structure: optimized geometry

```
data_Sc2TiAu
_symmetry_space_group_name_H-M 'P 1'
_symmetry_Int_Tables_number 1
_cell_length_a 10.091
_cell_length_b 10.091
_cell_length_c 10.091
_cell_angle_alpha 18.03
_cell_angle_beta 18.03
_cell_angle_gamma 18.03
loop_
_symmetry_equiv_pos_as_xyz
'x,y,z'
loop_
_atom_site_label
_atom_site_type_symbol
_atom_site_fract_x
_atom_site_fract_y
_atom_site_fract_z
Sc1 Sc 0.091 0.091 0.091
Sc2 Sc 0.909 0.909 0.909
Ti1 Ti 0.000 0.000 0.000
Au1 Au 0.500 0.500 0.500
```

Crystal system: trigonal
DOS at the Fermi energy (states/eV per cell): 4.588

=====

Run two
Compound: Sc2TiAu
Source: Alexandria
Functional: GGA-PBE
Structure: optimized geometry

```
data_Sc2TiAu
_symmetry_space_group_name_H-M 'P 1'
_symmetry_Int_Tables_number 1
_cell_length_a 3.314
_cell_length_b 3.314
_cell_length_c 7.302
_cell_angle_alpha 90.00
_cell_angle_beta 90.00
_cell_angle_gamma 90.00
loop_
_symmetry_equiv_pos_as_xyz
'x,y,z'
loop_
_atom_site_label
_atom_site_type_symbol
_atom_site_fract_x
_atom_site_fract_y
_atom_site_fract_z
Sc1 Sc 0.000 0.000 0.240
Sc2 Sc 0.000 0.000 0.760
Ti1 Ti 0.500 0.500 0.500
Au1 Au 0.500 0.500 0.000
```

Crystal system: tetragonal
DOS at the Fermi energy (states/eV per cell): 5.028

=====

Run three
Compound: Sc2TiAu
Source: Alexandria
Functional: GGA-PBE
Structure: optimized geometry

```
data_Sc2TiAu
_symmetry_space_group_name_H-M 'P 1'
_symmetry_Int_Tables_number 1
_cell_length_a 4.820
_cell_length_b 4.820
_cell_length_c 4.820
_cell_angle_alpha 60.00
_cell_angle_beta 60.00
_cell_angle_gamma 60.00
loop_
_symmetry_equiv_pos_as_xyz
'x,y,z'
loop_
_atom_site_label
_atom_site_type_symbol
_atom_site_fract_x
_atom_site_fract_y
_atom_site_fract_z
Sc1 Sc 0.250 0.250 0.250
Sc2 Sc 0.750 0.750 0.750
Ti1 Ti 0.000 0.000 0.000
Au1 Au 0.500 0.500 0.500
```

Crystal system: cubic
DOS at the Fermi energy (states/eV per cell): 1.274

=====

Which structure is the least stable? The one labeled run one.

=====

Run one
Compound: Sc4TlAu
Source: Alexandria
Functional: GGA-PBE
Structure: optimized geometry

```
data_Sc4TlAu
_symmetry_space_group_name_H-M 'P 1'
_symmetry_Int_Tables_number 1
_cell_length_a 5.790
_cell_length_b 5.790
_cell_length_c 5.790
_cell_angle_alpha 60.00
_cell_angle_beta 60.00
_cell_angle_gamma 60.00
loop_
_symmetry_equiv_pos_as_xyz
'x,y,z'
loop_
_atom_site_label
_atom_site_type_symbol
_atom_site_fract_x
_atom_site_fract_y
_atom_site_fract_z
Sc1 Sc 0.125 0.125 0.125
Sc2 Sc 0.125 0.125 0.626
Sc3 Sc 0.125 0.626 0.125
Sc4 Sc 0.626 0.125 0.125
Tl1 Tl 0.750 0.750 0.750
Au1 Au 0.500 0.500 0.500
```

Crystal system: cubic
DOS at the Fermi energy (states/eV per cell): 7.123

=====

Run two
Compound: Sc4TlAu
Source: Alexandria
Functional: GGA-PBE
Structure: optimized geometry

```
data_Sc4TlAu
_symmetry_space_group_name_H-M 'P 1'
_symmetry_Int_Tables_number 1
_cell_length_a 4.728
_cell_length_b 4.728
_cell_length_c 6.869
_cell_angle_alpha 90.00
_cell_angle_beta 90.00
_cell_angle_gamma 90.00
loop_
_symmetry_equiv_pos_as_xyz
'x,y,z'
loop_
_atom_site_label
_atom_site_type_symbol
_atom_site_fract_x
_atom_site_fract_y
_atom_site_fract_z
Sc1 Sc 0.000 0.500 0.233
Sc2 Sc 0.000 0.500 0.767
Sc3 Sc 0.500 0.000 0.233
Sc4 Sc 0.500 0.000 0.767
Tl1 Tl 0.000 0.000 0.500
Au1 Au 0.500 0.500 0.000
```

Crystal system: tetragonal
DOS at the Fermi energy (states/eV per cell): 5.733

=====

Which structure is the least stable? The one labeled run one.

=====

Run one
Compound: Sc2Tl2Au
Source: Alexandria
Functional: GGA-PBE
Structure: optimized geometry

```
data_Sc2Tl2Au
_symmetry_space_group_name_H-M 'P 1'
_symmetry_Int_Tables_number 1
_cell_length_a 7.236
_cell_length_b 7.236
_cell_length_c 4.715
_cell_angle_alpha 90.00
_cell_angle_beta 90.00
_cell_angle_gamma 90.00
loop_
_symmetry_equiv_pos_as_xyz
'x,y,z'
loop_
_atom_site_label
_atom_site_type_symbol
_atom_site_fract_x
_atom_site_fract_y
_atom_site_fract_z
Sc1 Sc 0.154 0.346 0.000
Sc2 Sc 0.346 0.846 0.000
Sc3 Sc 0.654 0.154 0.000
Sc4 Sc 0.846 0.654 0.000
Tl1 Tl 0.158 0.658 0.500
Tl2 Tl 0.342 0.158 0.500
Tl3 Tl 0.658 0.842 0.500
Tl4 Tl 0.842 0.342 0.500
Au1 Au 0.000 0.000 0.000
Au2 Au 0.500 0.500 0.000
```

Crystal system: tetragonal
DOS at the Fermi energy (states/eV per cell): 8.129

=====

Run two
Compound: Sc2Tl2Au
Source: Alexandria
Functional: GGA-PBE
Structure: optimized geometry

```
data_Sc2Tl2Au
_symmetry_space_group_name_H-M 'P 1'
_symmetry_Int_Tables_number 1
_cell_length_a 10.556
_cell_length_b 10.556
_cell_length_c 3.336
_cell_angle_alpha 90.00
_cell_angle_beta 90.00
_cell_angle_gamma 161.46
loop_
_symmetry_equiv_pos_as_xyz
'x,y,z'
loop_
_atom_site_label
_atom_site_type_symbol
_atom_site_fract_x
_atom_site_fract_y
_atom_site_fract_z
Sc1 Sc 0.082 0.918 0.000
Sc2 Sc 0.918 0.082 0.000
Tl1 Tl 0.316 0.684 0.500
Tl2 Tl 0.684 0.316 0.500
Au1 Au 0.500 0.500 0.500
```

Crystal system: orthorhombic
DOS at the Fermi energy (states/eV per cell): 4.596

=====

Which structure is the least stable? The one labeled run one.

=====

Run one
Compound: Sc4TlAu2
Source: Alexandria
Functional: GGA-PBE
Structure: optimized geometry

```
data_Sc4TlAu2
_symmetry_space_group_name_H-M 'P 1'
_symmetry_Int_Tables_number 1
_cell_length_a 8.333
_cell_length_b 8.333
_cell_length_c 8.333
_cell_angle_alpha 33.56
_cell_angle_beta 33.56
_cell_angle_gamma 33.56
loop_
_symmetry_equiv_pos_as_xyz
'x,y,z'
loop_
_atom_site_label
_atom_site_type_symbol
_atom_site_fract_x
_atom_site_fract_y
_atom_site_fract_z
Sc1 Sc 0.114 0.114 0.114
Sc2 Sc 0.369 0.369 0.369
Sc3 Sc 0.631 0.631 0.631
Sc4 Sc 0.886 0.886 0.886
Tl1 Tl 0.500 0.500 0.500
Au1 Au 0.251 0.251 0.251
Au2 Au 0.749 0.749 0.749
```

Crystal system: trigonal
DOS at the Fermi energy (states/eV per cell): 7.461

=====

Run two
Compound: Sc4TlAu2
Source: Alexandria
Functional: GGA-PBE
Structure: optimized geometry

```
data_Sc4TlAu2
_symmetry_space_group_name_H-M 'P 1'
_symmetry_Int_Tables_number 1
_cell_length_a 9.805
_cell_length_b 9.805
_cell_length_c 9.805
_cell_angle_alpha 26.97
_cell_angle_beta 26.97
_cell_angle_gamma 26.97
loop_
_symmetry_equiv_pos_as_xyz
'x,y,z'
loop_
_atom_site_label
_atom_site_type_symbol
_atom_site_fract_x
_atom_site_fract_y
_atom_site_fract_z
Sc1 Sc 0.116 0.116 0.116
Sc2 Sc 0.299 0.299 0.299
Sc3 Sc 0.701 0.701 0.701
Sc4 Sc 0.884 0.884 0.884
Tl1 Tl 0.500 0.500 0.500
Au1 Au 0.397 0.397 0.397
Au2 Au 0.603 0.603 0.603
```

Crystal system: trigonal
DOS at the Fermi energy (states/eV per cell): 10.136

=====

Which structure is the least stable? The one labeled run two.

=====

Run one
Compound: TmSc2Au
Source: Alexandria
Functional: GGA-PBE
Structure: optimized geometry

```
data_TmSc2Au
_symmetry_space_group_name_H-M 'P 1'
_symmetry_Int_Tables_number 1
_cell_length_a 5.969
_cell_length_b 5.969
_cell_length_c 7.562
_cell_angle_alpha 90.00
_cell_angle_beta 90.00
_cell_angle_gamma 133.76
loop_
_symmetry_equiv_pos_as_xyz
'x,y,z'
loop_
_atom_site_label
_atom_site_type_symbol
_atom_site_fract_x
_atom_site_fract_y
_atom_site_fract_z
Tm1 Tm 0.054 0.946 0.750
Tm2 Tm 0.946 0.054 0.250
Sc1 Sc 0.353 0.647 0.545
Sc2 Sc 0.353 0.647 0.955
Sc3 Sc 0.647 0.353 0.045
Sc4 Sc 0.647 0.353 0.455
Au1 Au 0.211 0.789 0.250
Au2 Au 0.789 0.211 0.750
```

Crystal system: orthorhombic
DOS at the Fermi energy (states/eV per cell): 11.479

=====

Run two
Compound: TmSc2Au
Source: Alexandria
Functional: GGA-PBE
Structure: optimized geometry

```
data_TmSc2Au
_symmetry_space_group_name_H-M 'P 1'
_symmetry_Int_Tables_number 1
_cell_length_a 3.462
_cell_length_b 3.462
_cell_length_c 7.840
_cell_angle_alpha 90.00
_cell_angle_beta 90.00
_cell_angle_gamma 90.00
loop_
_symmetry_equiv_pos_as_xyz
'x,y,z'
loop_
_atom_site_label
_atom_site_type_symbol
_atom_site_fract_x
_atom_site_fract_y
_atom_site_fract_z
Tm1 Tm 0.000 0.000 0.000
Sc1 Sc 0.500 0.500 0.293
Sc2 Sc 0.500 0.500 0.707
Au1 Au 0.000 0.000 0.500
```

Crystal system: tetragonal
DOS at the Fermi energy (states/eV per cell): 5.809

=====

Which structure is the least stable? The one labeled run two.

=====

Run one
Compound: TmSc2Au
Source: Alexandria
Functional: GGA-PBE
Structure: optimized geometry

```
data_TmSc2Au
_symmetry_space_group_name_H-M 'P 1'
_symmetry_Int_Tables_number 1
_cell_length_a 5.013
_cell_length_b 5.013
_cell_length_c 5.013
_cell_angle_alpha 60.00
_cell_angle_beta 60.00
_cell_angle_gamma 60.00
loop_
_symmetry_equiv_pos_as_xyz
'x,y,z'
loop_
_atom_site_label
_atom_site_type_symbol
_atom_site_fract_x
_atom_site_fract_y
_atom_site_fract_z
Tm1 Tm 0.000 0.000 0.000
Sc1 Sc 0.250 0.250 0.250
Sc2 Sc 0.750 0.750 0.750
Au1 Au 0.500 0.500 0.500
```

Crystal system: cubic
DOS at the Fermi energy (states/eV per cell): 6.340

=====

Run two
Compound: TmSc2Au
Source: Alexandria
Functional: GGA-PBE
Structure: optimized geometry

```
data_TmSc2Au
_symmetry_space_group_name_H-M 'P 1'
_symmetry_Int_Tables_number 1
_cell_length_a 9.587
_cell_length_b 9.587
_cell_length_c 9.587
_cell_angle_alpha 21.07
_cell_angle_beta 21.07
_cell_angle_gamma 21.07
loop_
_symmetry_equiv_pos_as_xyz
'x,y,z'
loop_
_atom_site_label
_atom_site_type_symbol
_atom_site_fract_x
_atom_site_fract_y
_atom_site_fract_z
Tm1 Tm 0.000 0.000 0.000
Sc1 Sc 0.569 0.569 0.569
Sc2 Sc 0.761 0.761 0.761
Au1 Au 0.165 0.165 0.165
```

Crystal system: trigonal
DOS at the Fermi energy (states/eV per cell): 5.560

=====

Which structure is the least stable? The one labeled run one.